Entry 1:
VASP calculation (SCAN) on a PBEsol-optimized structure of AlSiCl2.

abc: 10.584 3.068 5.212
angles: 90.00 103.09 90.00
Space group Cm (No. 8)
Inequivalent atoms, fractional coordinates:
Al 0.000 0.000 0.000 (multiplicity 2)
Si 0.334 0.000 0.665 (multiplicity 2)
Cl 0.178 0.500 0.043 (multiplicity 2)
Cl 0.485 0.000 0.403 (multiplicity 2)

Values from the calculation:
DOS at the Fermi energy: 0.101 states/eV per atom
E_form (uncorrected): -0.3492 eV per atom
V: 20.61 A^3/atom
Size of the total moment: 0.0 μB/f.u.
E: -0.32266 Ha/atom
Excess energy over the best structure of this formula in the dataset: 0 meV/atom



Entry 2:
VASP calculation (SCAN) on a PBEsol-optimized structure of AlSi2Cl.

abc: 2.884 4.346 10.869
angles: 90.00 90.00 90.00
Space group Immm (No. 71)
Inequivalent atoms, fractional coordinates:
Al 0.000 0.000 0.000 (multiplicity 2)
Si 0.000 0.500 0.290 (multiplicity 4)
Cl 0.000 0.000 0.500 (multiplicity 2)

Values from the calculation:
DOS at the Fermi energy: 0.214 states/eV per atom
E_form (uncorrected): 0.2384 eV per atom
V: 17.03 A^3/atom
Size of the total moment: 0.0 μB/f.u.
E: -0.31979 Ha/atom
Excess energy over the best structure of this formula in the dataset: 0 meV/atom



Entry 3:
VASP calculation (SCAN) on a PBEsol-optimized structure of AlSiCl2.

abc: 3.132 5.468 8.582
angles: 90.00 90.00 90.00
Space group Cmmm (No. 65)
Inequivalent atoms, fractional coordinates:
Al 0.000 0.000 0.000 (multiplicity 2)
Si 0.000 0.000 0.500 (multiplicity 2)
Cl 0.000 0.500 0.243 (multiplicity 4)

Values from the calculation:
DOS at the Fermi energy: 0.174 states/eV per atom
E_form (uncorrected): 0.0004 eV per atom
V: 18.37 A^3/atom
Size of the total moment: 0.0 μB/f.u.
E: -0.30981 Ha/atom
Excess energy over the best structure of this formula in the dataset: 350 meV/atom



Entry 4:
VASP calculation (SCAN) on a PBEsol-optimized structure of AlSn3Cl.

abc: 5.253 5.253 5.253
angles: 90.00 90.00 90.00
Space group Pm-3m (No. 221)
Inequivalent atoms, fractional coordinates:
Al 0.000 0.000 0.000 (multiplicity 1)
Sn 0.000 0.000 0.500 (multiplicity 3)
Cl 0.500 0.500 0.500 (multiplicity 1)

Values from the calculation:
DOS at the Fermi energy: 0.683 states/eV per atom
E_form (uncorrected): 0.3022 eV per atom
V: 28.99 A^3/atom
Size of the total moment: 0.0 μB/f.u.
E: -0.89655 Ha/atom



Entry 5:
VASP calculation (SCAN) on a PBEsol-optimized structure of TiAl2SnCl.

abc: 5.235 5.235 5.194
angles: 90.00 90.00 90.00
Space group P4/mmm (No. 123)
Inequivalent atoms, fractional coordinates:
Ti 0.000 0.000 0.000 (multiplicity 1)
Al 0.000 0.500 0.500 (multiplicity 2)
Sn 0.500 0.500 0.500 (multiplicity 1)
Cl 0.500 0.500 0.000 (multiplicity 1)

Values from the calculation:
DOS at the Fermi energy: 0.522 states/eV per atom
E_form (uncorrected): 0.7955 eV per atom
V: 28.47 A^3/atom
Size of the total moment: 3.2 μB/f.u.
E: -0.52519 Ha/atom



Entry 6:
VASP calculation (SCAN) on a PBEsol-optimized structure of SrAl2Cl8.

abc: 11.419 11.419 20.405
angles: 90.00 90.00 90.00
Space group I4_1/acd (No. 142, origin choice 2)
Inequivalent atoms, fractional coordinates:
Sr 0.000 0.250 0.125 (multiplicity 8)
Al 0.037 0.000 0.250 (multiplicity 16)
Cl 0.068 0.001 0.837 (multiplicity 32)
Cl 0.094 0.110 0.011 (multiplicity 32)

Values from the calculation:
DOS at the Fermi energy: 0.000 states/eV per atom
E_form (uncorrected): -2.0231 eV per atom
V: 30.23 A^3/atom
Size of the total moment: 0.0 μB/f.u.
E: -0.41379 Ha/atom
Excess energy over the best structure of this formula in the dataset: 4 meV/atom



Entry 7:
VASP calculation (SCAN) on a PBEsol-optimized structure of SrAlCl3.

abc: 5.130 5.130 5.130
angles: 90.00 90.00 90.00
Space group Pm-3m (No. 221)
Inequivalent atoms, fractional coordinates:
Sr 0.000 0.000 0.000 (multiplicity 1)
Al 0.500 0.500 0.500 (multiplicity 1)
Cl 0.000 0.500 0.500 (multiplicity 3)

Values from the calculation:
DOS at the Fermi energy: 0.279 states/eV per atom
E_form (uncorrected): -1.2890 eV per atom
V: 27.00 A^3/atom
Size of the total moment: 0.0 μB/f.u.
E: -0.44397 Ha/atom
Excess energy over the best structure of this formula in the dataset: 263 meV/atom



Entry 8:
VASP calculation (SCAN) on a PBEsol-optimized structure of SrAl3Cl.

abc: 6.044 6.044 6.044
angles: 90.00 90.00 90.00
Space group Pm-3m (No. 221)
Inequivalent atoms, fractional coordinates:
Sr 0.000 0.000 0.000 (multiplicity 1)
Al 0.000 0.000 0.500 (multiplicity 3)
Cl 0.500 0.500 0.500 (multiplicity 1)

Values from the calculation:
DOS at the Fermi energy: 1.589 states/eV per atom
E_form (uncorrected): 1.2384 eV per atom
V: 44.16 A^3/atom
Size of the total moment: 3.2 μB/f.u.
E: -0.34777 Ha/atom



Copy entry 7 word for word.
VASP calculation (SCAN) on a PBEsol-optimized structure of SrAlCl3.

abc: 5.130 5.130 5.130
angles: 90.00 90.00 90.00
Space group Pm-3m (No. 221)
Inequivalent atoms, fractional coordinates:
Sr 0.000 0.000 0.000 (multiplicity 1)
Al 0.500 0.500 0.500 (multiplicity 1)
Cl 0.000 0.500 0.500 (multiplicity 3)

Values from the calculation:
DOS at the Fermi energy: 0.279 states/eV per atom
E_form (uncorrected): -1.2890 eV per atom
V: 27.00 A^3/atom
Size of the total moment: 0.0 μB/f.u.
E: -0.44397 Ha/atom
Excess energy over the best structure of this formula in the dataset: 263 meV/atom